1.
VASP calculation (PBE-GGA) on a relaxed structure of HfNi4Au.

Properties
- Calculated total energy: -6.368 eV/atom
- Volume: 13.1 Å³/atom
- M_tot: 0.01 Bohr magnetons per cell

Cell and atoms, written as POSCAR:
```
HfNi4Au
1.0
1.4357 -3.1764 3.3124
2.0862 1.5300 4.0533
-2.3440 -0.3349 4.1852
Au Hf Ni
1 1 4
Direct
0.0000 0.0000 0.0000 Au
0.7500 0.7500 0.7500 Hf
0.8759 0.3747 0.3747 Ni
0.3747 0.8759 0.3747 Ni
0.3747 0.3747 0.3747 Ni
0.3747 0.3747 0.8759 Ni
```



2.
VASP calculation (PBE-GGA) on a relaxed structure of ScCoBiPd.

Properties
- E above lowest polymorph: 147 meV per atom
- Volume: 17.8 Å³/atom
- M_tot: 1.22 Bohr magnetons per cell

Cell and atoms, written as POSCAR:
```
ScCoBiPd
1.0
0.0000 3.2898 3.2898
3.2898 0.0000 3.2898
3.2898 3.2898 0.0000
Bi Co Pd Sc
1 1 1 1
Direct
0.0000 0.0000 0.0000 Bi
0.7500 0.7500 0.7500 Co
0.5000 0.5000 0.5000 Pd
0.2500 0.2500 0.2500 Sc
```



3.
VASP calculation (PBE-GGA) on a relaxed structure of RbAgMo.

Properties
- E above lowest polymorph: 0 meV per atom
- Volume: 34.8 Å³/atom
- M_tot: 4.91 Bohr magnetons per cell

Cell and atoms, written as POSCAR:
```
RbAgMo
1.0
0.0000 3.7368 3.7368
3.7368 0.0000 3.7368
3.7368 3.7368 0.0000
Ag Mo Rb
1 1 1
Direct
0.0000 0.0000 0.0000 Ag
0.2500 0.2500 0.2500 Mo
0.7500 0.7500 0.7500 Rb
```



4.
VASP calculation (PBE-GGA) on a relaxed structure of Ta5Al.

Properties
- E above lowest polymorph: 3 meV per atom
- Volume: 18.1 Å³/atom
- M_tot: 0.00 Bohr magnetons per cell

Cell and atoms, written as POSCAR:
```
Ta5Al
1.0
-2.2614 -3.4042 -3.6008
2.1049 -1.8579 4.6676
-7.5792 0.9990 3.8155
Al Ta
2 10
Direct
0.1781 0.8219 0.2500 Al
0.8219 0.1781 0.7500 Al
0.0000 0.0000 0.0000 Ta
0.6679 0.3321 0.0622 Ta
0.1835 0.3360 0.2500 Ta
0.6640 0.8165 0.2500 Ta
0.6679 0.3321 0.4378 Ta
0.0000 0.0000 0.5000 Ta
0.3321 0.6679 0.5622 Ta
0.3360 0.1835 0.7500 Ta
0.8165 0.6640 0.7500 Ta
0.3321 0.6679 0.9378 Ta
```



5.
VASP calculation (PBE-GGA) on a relaxed structure of PaNbMo.

Properties
- E above lowest polymorph: 0 meV per atom
- Volume: 22.5 Å³/atom
- M_tot: 0.01 Bohr magnetons per cell

Cell and atoms, written as POSCAR:
```
PaNbMo
1.0
0.0000 3.2322 3.2322
3.2322 0.0000 3.2322
3.2322 3.2322 0.0000
Mo Nb Pa
1 1 1
Direct
0.0000 0.0000 0.0000 Mo
0.2500 0.2500 0.2500 Nb
0.7500 0.7500 0.7500 Pa
```



6.
VASP calculation (PBE-GGA) on a relaxed structure of CsSmNiSe3.

Properties
- E above lowest polymorph: 19 meV per atom
- Volume: 30.9 Å³/atom
- M_tot: 7.50 Bohr magnetons per cell

Cell and atoms, written as POSCAR:
```
CsSmNiSe3
1.0
-0.6482 3.4596 10.5377
3.5577 -1.9968 0.8744
8.3118 13.1436 -3.8039
Cs Ni Se Sm
4 4 12 4
Direct
0.7262 0.7500 0.0087 Cs
0.2262 0.7500 0.4913 Cs
0.7738 0.2500 0.5087 Cs
0.2738 0.2500 0.9913 Cs
0.2641 0.7500 0.2183 Ni
0.7641 0.7500 0.2817 Ni
0.2359 0.2500 0.7183 Ni
0.7359 0.2500 0.7817 Ni
0.0918 0.7500 0.1274 Se
0.4465 0.7500 0.1387 Se
0.7621 0.2500 0.2001 Se
0.2621 0.2500 0.2999 Se
0.9465 0.7500 0.3613 Se
0.5918 0.7500 0.3726 Se
0.4082 0.2500 0.6274 Se
0.0535 0.2500 0.6387 Se
0.7379 0.7500 0.7001 Se
0.2379 0.7500 0.7999 Se
0.5535 0.2500 0.8613 Se
0.9082 0.2500 0.8726 Se
0.0155 0.2500 0.2422 Sm
0.5155 0.2500 0.2578 Sm
0.4845 0.7500 0.7422 Sm
0.9845 0.7500 0.7578 Sm
```



7.
VASP calculation (PBE-GGA) on a relaxed structure of BaMgAg2Sn.

Properties
- Calculated total energy: -2.926 eV/atom
- Volume: 27.1 Å³/atom

Cell and atoms, written as POSCAR:
```
BaMgAg2Sn
1.0
3.6947 -4.2861 3.2439
-3.3143 -4.4470 3.4327
-0.2163 2.2361 -6.1235
Ag Ba Mg Sn
2 1 1 1
Direct
0.7509 0.2509 0.5000 Ag
0.2509 0.7509 0.5000 Ag
0.9952 0.9952 0.0000 Ba
0.6334 0.6334 0.0000 Mg
0.3697 0.3697 0.0000 Sn
```



8.
VASP calculation (PBE-GGA) on a relaxed structure of Ho3Bi2S.

Properties
- Calculated total energy: -5.488 eV/atom
- Volume: 27.5 Å³/atom
- M_tot: 0.00 Bohr magnetons per cell

Cell and atoms, written as POSCAR:
```
Ho3Bi2S
1.0
-2.5334 -3.0943 1.4780
3.0869 1.5912 2.4731
-6.6715 7.2207 3.6814
Bi Ho S
2 3 1
Direct
0.6667 0.3333 0.1804 Bi
0.3333 0.6667 0.8196 Bi
0.0000 0.0000 0.0000 Ho
0.3333 0.6667 0.3621 Ho
0.6667 0.3333 0.6379 Ho
0.0000 0.0000 0.5000 S
```



9.
VASP calculation (PBE-GGA) on a relaxed structure of AcAlIr.

Properties
- E above lowest polymorph: 0 meV per atom
- Volume: 23.4 Å³/atom
- M_tot: 0.01 Bohr magnetons per cell

Cell and atoms, written as POSCAR:
```
AcAlIr
1.0
-0.9956 -6.8333 2.7346
4.0480 -0.8578 -0.6696
2.0032 3.0111 8.2534
Ac Al Ir
4 4 4
Direct
0.5337 0.7500 0.1850 Ac
0.0337 0.7500 0.3150 Ac
0.9663 0.2500 0.6850 Ac
0.4663 0.2500 0.8150 Ac
0.8735 0.2500 0.0473 Al
0.3735 0.2500 0.4527 Al
0.6265 0.7500 0.5473 Al
0.1265 0.7500 0.9527 Al
0.2178 0.2500 0.0986 Ir
0.7178 0.2500 0.4014 Ir
0.2822 0.7500 0.5986 Ir
0.7822 0.7500 0.9014 Ir
```



10.
VASP calculation (PBE-GGA) on a relaxed structure of Ni9Sb2.

Properties
- E above lowest polymorph: 4 meV per atom
- Volume: 19.8 Å³/atom
- M_tot: 4.52 Bohr magnetons per cell

Cell and atoms, written as POSCAR:
```
Ni9Sb2
1.0
-0.9504 -2.3911 1.0465
0.4220 0.2491 -2.7342
30.6185 -10.5214 3.7667
Ni Sb
9 2
Direct
0.3333 0.6667 0.2718 Ni
0.0000 0.0000 0.3300 Ni
0.6667 0.3333 0.3865 Ni
0.3333 0.6667 0.4433 Ni
0.0000 0.0000 0.5000 Ni
0.6667 0.3333 0.5567 Ni
0.3333 0.6667 0.6135 Ni
0.0000 0.0000 0.6700 Ni
0.6667 0.3333 0.7282 Ni
0.6667 0.3333 0.2079 Sb
0.3333 0.6667 0.7921 Sb
```



11.
VASP calculation (PBE-GGA) on a relaxed structure of ZrNiAu2.

Properties
- Calculated total energy: -5.509 eV/atom
- Volume: 17.3 Å³/atom
- M_tot: 0.00 Bohr magnetons per cell

Cell and atoms, written as POSCAR:
```
ZrNiAu2
1.0
2.3044 1.3305 3.7631
-2.3044 1.3305 3.7631
0.0000 -2.6609 3.7631
Au Ni Zr
2 1 1
Direct
0.0000 0.0000 0.0000 Au
0.7500 0.7500 0.7500 Au
0.2500 0.2500 0.2500 Ni
0.5000 0.5000 0.5000 Zr
```



12.
VASP calculation (PBE-GGA) on a relaxed structure of Er4Lu3Te2Pd2.

Properties
- E above lowest polymorph: 0 meV per atom
- Volume: 26.2 Å³/atom
- M_tot: 0.02 Bohr magnetons per cell

Cell and atoms, written as POSCAR:
```
Er4Lu3Te2Pd2
1.0
-6.5911 -6.5028 0.7706
1.0691 6.0230 6.9931
-3.1054 -2.9339 -8.2506
Er Lu Pd Te
4 3 2 2
Direct
0.4101 0.2664 0.1436 Er
0.7865 0.4170 0.3695 Er
0.0475 0.4170 0.6305 Er
0.1228 0.2664 0.8564 Er
0.8093 0.6264 0.1829 Lu
0.5005 0.0005 0.5000 Lu
0.4434 0.6264 0.8171 Lu
0.1970 0.9327 0.2642 Pd
0.6685 0.9327 0.7358 Pd
0.7657 0.7657 0.0000 Te
0.1620 0.6620 0.5000 Te
```



13.
VASP calculation (PBE-GGA) on a relaxed structure of InAu124.

Properties
- Calculated total energy: -3.270 eV/atom
- Volume: 17.8 Å³/atom

Cell and atoms, written as POSCAR:
```
InAu124
1.0
7.3304 4.2322 11.9705
-7.3304 4.2322 11.9705
0.0000 -8.4644 11.9705
Au In
124 1
Direct
0.2009 0.0000 0.0000 Au
0.4004 0.0000 0.0000 Au
0.5996 0.0000 0.0000 Au
0.7991 0.0000 0.0000 Au
0.3999 0.2001 0.0000 Au
0.5995 0.2002 0.0000 Au
0.2002 0.2002 0.0000 Au
0.7991 0.2009 0.0000 Au
0.0000 0.2009 0.0000 Au
0.3999 0.3999 0.0000 Au
0.2001 0.3999 0.0000 Au
0.0000 0.4004 0.0000 Au
0.5996 0.4004 0.0000 Au
0.7998 0.4005 0.0000 Au
0.2002 0.5995 0.0000 Au
0.4004 0.5996 0.0000 Au
0.0000 0.5996 0.0000 Au
0.7999 0.6001 0.0000 Au
0.6001 0.6001 0.0000 Au
0.0000 0.7991 0.0000 Au
0.2009 0.7991 0.0000 Au
0.7998 0.7998 0.0000 Au
0.4005 0.7998 0.0000 Au
0.6001 0.7999 0.0000 Au
0.6000 0.6000 0.2000 Au
0.8000 0.4001 0.2000 Au
0.4001 0.8000 0.2000 Au
0.8000 0.5999 0.2000 Au
0.5999 0.8000 0.2000 Au
0.5999 0.4001 0.2000 Au
0.4001 0.5999 0.2000 Au
0.3999 0.0000 0.2001 Au
0.0000 0.3999 0.2001 Au
0.3999 0.3999 0.2001 Au
0.3998 0.2001 0.2001 Au
0.2001 0.3998 0.2001 Au
0.2001 0.2001 0.2001 Au
0.5995 0.2002 0.2002 Au
0.2002 0.5995 0.2002 Au
0.5995 0.0000 0.2002 Au
0.0000 0.5995 0.2002 Au
0.2002 0.0000 0.2002 Au
0.0000 0.2002 0.2002 Au
0.7996 0.2004 0.2004 Au
0.2004 0.7996 0.2004 Au
0.7996 0.7996 0.2004 Au
0.0000 0.7991 0.2009 Au
0.7991 0.0000 0.2009 Au
0.0000 0.0000 0.2009 Au
0.2001 0.2001 0.3998 Au
0.3999 0.0000 0.3999 Au
0.0000 0.3999 0.3999 Au
0.3999 0.2001 0.3999 Au
0.2001 0.3999 0.3999 Au
0.2001 0.0000 0.3999 Au
0.0000 0.2001 0.3999 Au
0.4000 0.8000 0.4000 Au
0.8000 0.4000 0.4000 Au
0.4000 0.4000 0.4000 Au
0.6000 0.4000 0.4000 Au
0.4000 0.6000 0.4000 Au
0.6000 0.6000 0.4000 Au
0.5999 0.2000 0.4001 Au
0.2000 0.5999 0.4001 Au
0.8000 0.5999 0.4001 Au
0.5999 0.8000 0.4001 Au
0.8000 0.2000 0.4001 Au
0.2000 0.8000 0.4001 Au
0.0000 0.0000 0.4004 Au
0.5996 0.0000 0.4004 Au
0.0000 0.5996 0.4004 Au
0.7998 0.7998 0.4005 Au
0.7998 0.0000 0.4005 Au
0.0000 0.7998 0.4005 Au
0.2002 0.0000 0.5995 Au
0.0000 0.2002 0.5995 Au
0.2002 0.2002 0.5995 Au
0.4004 0.0000 0.5996 Au
0.0000 0.4004 0.5996 Au
0.0000 0.0000 0.5996 Au
0.8000 0.2000 0.5999 Au
0.2000 0.8000 0.5999 Au
0.4001 0.2000 0.5999 Au
0.2000 0.4001 0.5999 Au
0.4001 0.8000 0.5999 Au
0.8000 0.4001 0.5999 Au
0.4000 0.4000 0.6000 Au
0.6000 0.4000 0.6000 Au
0.4000 0.6000 0.6000 Au
0.6000 0.6000 0.6000 Au
0.6000 0.2000 0.6000 Au
0.2000 0.6000 0.6000 Au
0.7999 0.0000 0.6001 Au
0.6001 0.0000 0.6001 Au
0.0000 0.7999 0.6001 Au
0.6001 0.7999 0.6001 Au
0.7999 0.6001 0.6001 Au
0.0000 0.6001 0.6001 Au
0.7999 0.7999 0.6002 Au
0.0000 0.0000 0.7991 Au
0.2009 0.0000 0.7991 Au
0.0000 0.2009 0.7991 Au
0.2004 0.2004 0.7996 Au
0.7996 0.2004 0.7996 Au
0.2004 0.7996 0.7996 Au
0.7998 0.0000 0.7998 Au
0.0000 0.7998 0.7998 Au
0.4005 0.0000 0.7998 Au
0.0000 0.4005 0.7998 Au
0.7998 0.4005 0.7998 Au
0.4005 0.7998 0.7998 Au
0.7999 0.6002 0.7999 Au
0.6002 0.7999 0.7999 Au
0.7999 0.7999 0.7999 Au
0.6001 0.0000 0.7999 Au
0.0000 0.6001 0.7999 Au
0.6001 0.6001 0.7999 Au
0.5999 0.4001 0.8000 Au
0.4001 0.5999 0.8000 Au
0.4001 0.2000 0.8000 Au
0.2000 0.4001 0.8000 Au
0.5999 0.2000 0.8000 Au
0.2000 0.5999 0.8000 Au
0.4000 0.4000 0.8000 Au
0.0000 0.0000 0.0000 In
```



14.
VASP calculation (PBE-GGA) on a relaxed structure of SmIrAu.

Properties
- E above lowest polymorph: 378 meV per atom
- Volume: 24.6 Å³/atom
- M_tot: 0.01 Bohr magnetons per cell

Cell and atoms, written as POSCAR:
```
SmIrAu
1.0
4.6526 -0.3775 0.6214
1.8104 -3.9008 1.9189
2.4946 -2.9883 -2.6500
Au Ir Sm
1 1 1
Direct
0.2500 0.2500 0.2500 Au
0.7500 0.7500 0.7500 Ir
0.0000 0.0000 0.0000 Sm
```



15.
VASP calculation (PBE-GGA) on a relaxed structure of LiCuBMo.

Properties
- E above lowest polymorph: 434 meV per atom
- Volume: 11.3 Å³/atom
- M_tot: 1.21 Bohr magnetons per cell

Cell and atoms, written as POSCAR:
```
LiCuBMo
1.0
-3.1817 -2.4223 -0.0259
-3.3095 1.0249 1.9969
-3.2979 1.0524 -2.0019
B Cu Li Mo
1 1 1 1
Direct
0.0000 0.0000 0.0000 B
0.2500 0.2500 0.2500 Cu
0.7500 0.7500 0.7500 Li
0.5000 0.5000 0.5000 Mo
```



16.
VASP calculation (PBE-GGA) on a relaxed structure of PmSbN2O.

Properties
- Calculated total energy: -6.813 eV/atom
- Volume: 13.0 Å³/atom
- M_tot: 0.00 Bohr magnetons per cell

Cell and atoms, written as POSCAR:
```
PmSbN2O
1.0
-1.6541 -1.3226 3.4435
3.6880 -0.5177 1.5727
-0.0725 3.7307 1.3981
N O Pm Sb
2 1 1 1
Direct
0.5000 0.0000 0.5000 N
0.0000 0.5000 0.5000 N
0.5000 0.5000 0.0000 O
0.0000 0.0000 0.0000 Pm
0.5000 0.5000 0.5000 Sb
```



17.
VASP calculation (PBE-GGA) on a relaxed structure of TbTaGe.

Properties
- Calculated total energy: -6.949 eV/atom
- Volume: 22.7 Å³/atom
- M_tot: 0.54 Bohr magnetons per cell

Cell and atoms, written as POSCAR:
```
TbTaGe
1.0
0.0000 3.2424 3.2424
3.2424 0.0000 3.2424
3.2424 3.2424 0.0000
Ge Ta Tb
1 1 1
Direct
0.0000 0.0000 0.0000 Ge
0.2500 0.2500 0.2500 Ta
0.7500 0.7500 0.7500 Tb
```



18.
VASP calculation (PBE-GGA) on a relaxed structure of MgFeCu4As2.

Properties
- E above lowest polymorph: 0 meV per atom
- Volume: 13.7 Å³/atom
- M_tot: 2.71 Bohr magnetons per cell

Cell and atoms, written as POSCAR:
```
MgFeCu4As2
1.0
-2.5079 -0.6335 3.0689
0.5425 -3.9592 -0.3739
5.2489 0.3081 4.3530
As Cu Fe Mg
2 4 1 1
Direct
0.0000 0.0000 0.0000 As
0.5000 0.5000 0.5000 As
0.5000 0.0000 0.2630 Cu
0.0000 0.5000 0.2630 Cu
0.5000 0.0000 0.7370 Cu
0.0000 0.5000 0.7370 Cu
0.0000 0.0000 0.5000 Fe
0.5000 0.5000 0.0000 Mg
```



19.
VASP calculation (PBE-GGA) on a relaxed structure of YErPO.

Properties
- E above lowest polymorph: 0 meV per atom
- Volume: 21.9 Å³/atom
- M_tot: 0.02 Bohr magnetons per cell

Cell and atoms, written as POSCAR:
```
YErPO
1.0
4.1548 0.0000 0.0000
0.0000 7.4313 0.0000
0.0000 0.0000 5.6827
Er O P Y
2 2 2 2
Direct
0.5000 0.6215 0.4994 Er
0.5000 0.3785 0.9994 Er
0.5000 0.3319 0.3829 O
0.5000 0.6681 0.8829 O
0.0000 0.8355 0.4333 P
0.0000 0.1645 0.9333 P
0.0000 0.2024 0.4384 Y
0.0000 0.7976 0.9384 Y
```